A relaxed structure of Al2HgPb. Source: the Alexandria database, functional PBE-GGA.

abc: 5.921 5.921 5.921
angles: 145.95 125.22 66.10
Atoms (fractional coordinates):
Al 0.234 0.234 0.000
Al 0.766 0.766 0.000
Hg 0.000 0.500 0.500
Pb 0.500 0.000 0.500

## Properties
- V (Å³ per cell) = 93.7
- total magnetic moment (μB per formula unit) = 0.00
- uncorrected energy (eV per cell) = -10.456
- calculated formation energy (meV/atom) = 260
- N(E_F) (states/eV/cell) = 1.523
- symmetry = Immm (71)